4
Lattice="6.0360 0.0000 0.0000 3.0180 5.2273 0.0000 3.0180 1.7424 4.9283" Properties=species:S:1:pos:R:3 comment="CsBaCd2 | the Alexandria database | PBEsol | relaxed" sg="Fm-3m, No. 225" ef_ev_per_fu=-0.06 final_energy_ev_per_atom=-1.386 pbc="T T T"
Cs 0.0000 0.0000 0.0000
Ba 6.0360 3.4849 2.4642
Cd 9.0539 5.2273 3.6963
Cd 3.0180 1.7424 1.2321